[1]
Pu4TcRh2: relaxed, PBE-GGA.

Cell: 7.3131 7.3131 7.3131 Å, 110.00 108.42 110.00°
Each line ends with the local moment (μB).
Fractional coordinates of all 14 atoms:
Rh 0.8750 0.1343 0.5093  -0.31
Rh 0.4907 0.3657 0.6250  -0.31
Rh 0.3750 0.8657 0.7407  -0.31
Rh 0.2593 0.6343 0.1250  -0.31
Pu 0.1185 0.8875 0.3737  5.05
Pu 0.7690 0.2552 0.8815  5.05
Pu 0.6263 0.7448 0.5138  5.05
Pu 0.9810 0.6125 0.7362  5.05
Pu 0.1237 0.3875 0.3685  5.05
Pu 0.6315 0.7552 0.0190  5.05
Pu 0.2638 0.2448 0.8763  5.05
Pu 0.4862 0.1125 0.2310  5.05
Tc 0.0000 0.0000 0.0000  -0.93
Tc 0.7500 0.5000 0.2500  -0.93

## Properties
total DFT energy (no corrections): -11.9587 eV per atom


[2]
Pu4TcRh2: relaxed, PBE-GGA.

Cell: 4.7126 4.7126 6.9660 Å, 90.00 90.00 90.00°
Each line ends with the local moment (μB).
Fractional coordinates of all 7 atoms:
Rh 0.5000 0.5000 0.5000  -0.40
Rh 0.0000 0.0000 0.0000  -0.29
Pu 0.0000 0.5000 0.2518  5.17
Pu 0.0000 0.5000 0.7482  5.17
Pu 0.5000 0.0000 0.7482  5.17
Pu 0.5000 0.0000 0.2518  5.17
Tc 0.5000 0.5000 0.0000  -0.96

## Properties
total DFT energy (no corrections): -11.9511 eV per atom


[3]
Pu4Tc2Rh: relaxed, PBE-GGA.

Cell: 7.2711 7.2711 7.2711 Å, 109.04 110.35 109.04°
Each line ends with the local moment (μB).
Fractional coordinates of all 14 atoms:
Pu 0.6159 0.7446 0.0083  4.92
Pu 0.7583 0.2446 0.8659  4.92
Pu 0.6213 0.7554 0.5137  4.92
Pu 0.4863 0.1076 0.2417  4.92
Pu 0.9917 0.6076 0.7363  4.92
Pu 0.1287 0.3924 0.3841  4.92
Pu 0.2637 0.2554 0.8713  4.92
Pu 0.1341 0.8924 0.3787  4.92
Tc 0.5191 0.3941 0.6250  -0.96
Tc 0.2309 0.6059 0.1250  -0.96
Tc 0.8750 0.1059 0.4809  -0.96
Tc 0.3750 0.8941 0.7691  -0.96
Rh 0.7500 0.5000 0.2500  -0.33
Rh 0.0000 0.0000 0.0000  -0.33

## Properties
total DFT energy (no corrections): -12.1903 eV per atom


[4]
Pu3Tc2Rh: relaxed, PBE-GGA.

Cell: 3.4289 3.4289 9.9233 Å, 90.00 90.00 90.00°
Each line ends with the local moment (μB).
Fractional coordinates of all 6 atoms:
Pu 0.0000 0.0000 0.3334  4.87
Pu 0.0000 0.0000 0.6666  4.87
Pu 0.0000 0.0000 0.0000  4.71
Tc 0.5000 0.5000 0.8340  -0.89
Tc 0.5000 0.5000 0.1660  -0.89
Rh 0.5000 0.5000 0.5000  -0.37

## Properties
total DFT energy (no corrections): -11.9360 eV per atom


Per-record density of states at the Fermi level, states/eV/f.u.: 25.1 24.6 22.7 17.1
Per-record calculated formation energy, eV per atom: -0.188 -0.180 0.011 -0.089
Per-record magnetic moment, Bohr magnetons per cell: 39.12 19.97 36.28 12.71